Entry 1:
Entry from the Alexandria database: an optimized crystal structure of TiMn2Os2 (PBE-GGA).

Cell: 7.246 7.246 2.643 Å, 90.00 90.00 90.00°
Fractional coordinates of all 10 atoms:
Os: 0.128 0.372 0.000
Os: 0.628 0.128 0.000
Os: 0.872 0.628 0.000
Os: 0.372 0.872 0.000
Ti: 0.000 0.000 0.000
Ti: 0.500 0.500 0.000
Mn: 0.670 0.830 0.500
Mn: 0.170 0.670 0.500
Mn: 0.330 0.170 0.500
Mn: 0.830 0.330 0.500

* VASP energy: -9.693 eV per atom
* DFT formation energy: 22 kJ/mol of formula units
* D(E_F): 6.4 states/eV/f.u.
* total magnetization: 0.000 μB/f.u.
* energy above the most stable polymorph in this dataset: 71.4 meV per atom
* space group: P4/mbm (127)

***

Entry 2:
Entry from the Alexandria database: an optimized crystal structure of Ti6Mn5Os (PBE-GGA).

Cell: 4.252 6.028 7.372 Å, 114.13 106.76 90.00°
Fractional coordinates of all 12 atoms:
Mn: 0.669 0.169 0.337
Mn: 0.331 0.831 0.663
Mn: 0.333 0.333 0.666
Mn: 0.667 0.667 0.334
Mn: 0.000 0.500 0.000
Ti: 0.500 0.255 0.000
Ti: 0.832 0.084 0.663
Ti: 0.832 0.579 0.663
Ti: 0.168 0.421 0.337
Ti: 0.168 0.916 0.337
Ti: 0.500 0.745 0.000
Os: 0.000 0.000 0.000

* VASP energy: -9.030 eV per atom
* DFT formation energy: -378 kJ/mol of formula units
* D(E_F): 12.2 states/eV/f.u.
* total magnetization: 3.344 μB/f.u.
* space group: Immm (71)

***

Entry 3:
Entry from the Alexandria database: an optimized crystal structure of Ti4MnOs (PBE-GGA).

Cell: 3.072 3.072 9.557 Å, 90.00 90.00 90.00°
Fractional coordinates of all 6 atoms:
Ti: 0.500 0.500 0.147
Ti: 0.500 0.500 0.853
Ti: 0.000 0.000 0.340
Ti: 0.000 0.000 0.660
Mn: 0.000 0.000 0.000
Os: 0.500 0.500 0.500

* VASP energy: -8.966 eV per atom
* DFT formation energy: -175 kJ/mol of formula units
* D(E_F): 10.5 states/eV/f.u.
* total magnetization: 0.044 μB/f.u.
* energy above the most stable polymorph in this dataset: 0.0 meV per atom
* space group: P4/mmm (123)

***

Entry 4:
Entry from the Alexandria database: an optimized crystal structure of TiMnVOs (PBE-GGA).

Cell: 2.987 2.987 6.012 Å, 90.00 90.00 90.00°
Fractional coordinates of all 4 atoms:
Os: 0.000 0.000 0.865
V: 0.500 0.500 0.119
Mn: 0.000 0.000 0.348
Ti: 0.500 0.500 0.596

* VASP energy: -9.776 eV per atom
* DFT formation energy: -163 kJ/mol of formula units
* D(E_F): 1.1 states/eV/f.u.
* total magnetization: 0.000 μB/f.u.
* space group: P4mm (99)

***

Entry 5:
Entry from the Alexandria database: an optimized crystal structure of MnTl2Os (PBE-GGA).

Cell: 3.264 5.122 4.608 Å, 90.00 90.00 90.00°
Fractional coordinates of all 4 atoms:
Os: 0.000 0.500 0.500
Tl: 0.000 0.000 0.000
Tl: 0.500 0.500 0.000
Mn: 0.500 0.000 0.500

* VASP energy: -5.414 eV per atom
* DFT formation energy: 335 kJ/mol of formula units
* D(E_F): 2.4 states/eV/f.u.
* total magnetization: 3.624 μB/f.u.
* energy above the most stable polymorph in this dataset: 373.7 meV per atom
* space group: Pmmm (47)

***

Entry 6:
Entry from the Alexandria database: an optimized crystal structure of MnTl2Os (PBE-GGA).

Cell: 3.354 3.354 6.655 Å, 90.00 90.00 90.00°
Fractional coordinates of all 4 atoms:
Mn: 0.500 0.500 0.250
Tl: 0.000 0.000 0.995
Tl: 0.000 0.000 0.505
Os: 0.500 0.500 0.750

* VASP energy: -5.398 eV per atom
* DFT formation energy: 341 kJ/mol of formula units
* D(E_F): 3.5 states/eV/f.u.
* total magnetization: 3.652 μB/f.u.
* energy above the most stable polymorph in this dataset: 389.3 meV per atom
* space group: P4/mmm (123)

***

Entry 7:
Entry from the Alexandria database: an optimized crystal structure of MnTl2Os (PBE-GGA).

Cell: 4.086 4.284 4.284 Å, 90.00 90.00 90.00°
Fractional coordinates of all 4 atoms:
Tl: 0.000 0.000 0.000
Tl: 0.000 0.500 0.500
Mn: 0.500 0.500 0.000
Os: 0.500 0.000 0.500

* VASP energy: -5.407 eV per atom
* DFT formation energy: 338 kJ/mol of formula units
* D(E_F): 3.7 states/eV/f.u.
* total magnetization: 3.784 μB/f.u.
* energy above the most stable polymorph in this dataset: 380.4 meV per atom
* space group: P4/mmm (123)

***

Entry 8:
Entry from the Alexandria database: an optimized crystal structure of MnTl2Os (PBE-GGA).

Cell: 6.564 6.564 4.654 Å, 69.22 69.22 26.89°
Fractional coordinates of all 4 atoms:
Mn: 0.564 0.564 0.436
Tl: 0.743 0.743 0.757
Tl: 0.959 0.959 0.041
Os: 0.234 0.234 0.266

* VASP energy: -5.604 eV per atom
* DFT formation energy: 262 kJ/mol of formula units
* D(E_F): 2.7 states/eV/f.u.
* total magnetization: 3.788 μB/f.u.
* energy above the most stable polymorph in this dataset: 183.7 meV per atom
* space group: Imm2 (44)

***

Entry 9:
Entry from the Alexandria database: an optimized crystal structure of MnTl2Os (PBE-GGA).

Cell: 5.021 5.021 5.021 Å, 128.63 128.63 75.61°
Fractional coordinates of all 4 atoms:
Os: 0.750 0.250 0.500
Mn: 0.250 0.750 0.500
Tl: 0.500 0.500 0.000
Tl: 0.000 0.000 0.000

* VASP energy: -5.464 eV per atom
* DFT formation energy: 316 kJ/mol of formula units
* D(E_F): 2.2 states/eV/f.u.
* total magnetization: 4.099 μB/f.u.
* energy above the most stable polymorph in this dataset: 323.8 meV per atom
* space group: I4/mmm (139)

***

Entry 10:
Entry from the Alexandria database: an optimized crystal structure of MnTl4Os (PBE-GGA).

Cell: 6.021 6.021 6.021 Å, 60.00 60.00 60.00°
Fractional coordinates of all 6 atoms:
Tl: 0.375 0.375 0.876
Tl: 0.375 0.876 0.375
Tl: 0.375 0.375 0.375
Tl: 0.876 0.375 0.375
Mn: 0.750 0.750 0.750
Os: 0.000 0.000 0.000

* VASP energy: -3.681 eV per atom
* DFT formation energy: 751 kJ/mol of formula units
* D(E_F): 4.3 states/eV/f.u.
* total magnetization: 6.354 μB/f.u.
* space group: F-43m (216)

***

Entry 11:
Entry from the Alexandria database: an optimized crystal structure of MnTl2Os (PBE-GGA).

Cell: 4.791 4.791 4.791 Å, 60.00 60.00 60.00°
Fractional coordinates of all 4 atoms:
Os: 0.750 0.750 0.750
Mn: 0.500 0.500 0.500
Tl: 0.000 0.000 0.000
Tl: 0.250 0.250 0.250

* VASP energy: -5.284 eV per atom
* DFT formation energy: 385 kJ/mol of formula units
* D(E_F): 3.3 states/eV/f.u.
* total magnetization: 3.714 μB/f.u.
* energy above the most stable polymorph in this dataset: 503.2 meV per atom
* space group: F-43m (216)

***

Entry 12:
Entry from the Alexandria database: an optimized crystal structure of MnTl2Os (PBE-GGA).

Cell: 5.362 5.362 5.362 Å, 135.04 135.04 65.47°
Fractional coordinates of all 4 atoms:
Tl: 0.000 0.000 0.000
Tl: 0.250 0.750 0.500
Mn: 0.500 0.500 0.000
Os: 0.750 0.250 0.500

* VASP energy: -5.443 eV per atom
* DFT formation energy: 324 kJ/mol of formula units
* D(E_F): 2.4 states/eV/f.u.
* total magnetization: 4.502 μB/f.u.
* energy above the most stable polymorph in this dataset: 344.6 meV per atom
* space group: I-4m2 (119)

***

Entry 13:
Entry from the Alexandria database: an optimized crystal structure of MnTl2Os (PBE-GGA).

Cell: 3.080 3.045 8.822 Å, 79.63 90.00 90.00°
Fractional coordinates of all 4 atoms:
Tl: 0.000 0.208 0.950
Tl: 0.500 0.044 0.302
Os: 0.500 0.836 0.697
Mn: 0.000 0.413 0.551

* VASP energy: -5.787 eV per atom
* DFT formation energy: 191 kJ/mol of formula units
* D(E_F): 3.6 states/eV/f.u.
* total magnetization: 2.582 μB/f.u.
* energy above the most stable polymorph in this dataset: 0.0 meV per atom
* space group: Pm (6)

***

Entry 14:
Entry from the Alexandria database: an optimized crystal structure of MnTl2Os (PBE-GGA).

Cell: 7.595 7.595 6.113 Å, 51.59 51.59 90.00°
Fractional coordinates of all 8 atoms:
Os: 0.000 0.000 0.000
Os: 0.750 0.250 0.500
Tl: 0.375 0.370 0.750
Tl: 0.875 0.880 0.750
Tl: 0.120 0.625 0.250
Tl: 0.630 0.125 0.250
Mn: 0.500 0.500 0.000
Mn: 0.250 0.750 0.500

* VASP energy: -5.179 eV per atom
* DFT formation energy: 426 kJ/mol of formula units
* D(E_F): 3.6 states/eV/f.u.
* total magnetization: 4.818 μB/f.u.
* energy above the most stable polymorph in this dataset: 608.5 meV per atom
* space group: I-42d (122)